This record from Alexandria describes a relaxed Li2Be crystal. The functional is PBEsol.

abc: 4.0702 4.3617 4.9993
angles: 64.14 90.00 90.00
With the nearest neighbours (Å) after each atom.
Element x y z (fractional)
Li: 0.7500 0.0808 0.8384  2 Be 2.47, 6 Li 2.50-2.61
Li: 0.2500 0.2596 0.4808  4 Li 2.59-2.61, 5 Be 2.60-2.89
Be: 0.7500 0.4519 0.0963  2 Be 2.21, 2 Li 2.47
Li: 0.7500 0.7404 0.5192  4 Li 2.59-2.61, 5 Be 2.60-2.89
Li: 0.2500 0.9192 0.1616  2 Be 2.47, 6 Li 2.50-2.61
Be: 0.2500 0.5481 0.9037  2 Be 2.21, 2 Li 2.47

Summary:
The density comes out at 1.0 g/cm³. The value obtained for the formation energy is 4.70 kcal/mol of atoms. For the total energy, the calculation gives -14.6 eV/cell. The magnetic moment comes out at 0.00 μB/f.u.

This record from Alexandria describes a relaxed Li3Be crystal. The functional is PBEsol.

abc: 3.9001 3.9001 4.6870
angles: 114.59 114.59 90.00
With the nearest neighbours (Å) after each atom.
Element x y z (fractional)
Be: 0.0000 0.0000 0.0000  12 Li 2.72-2.76
Li: 0.7500 0.2500 0.5000  8 Li 2.72-2.76, 4 Be 2.72
Li: 0.2500 0.7500 0.5000  8 Li 2.72-2.76, 4 Be 2.72
Li: 0.5000 0.5000 0.0000  8 Li 2.72, 4 Be 2.76

Summary:
The density comes out at 0.9 g/cm³. The value obtained for the formation energy is 5.63 kcal/mol of atoms. For the total energy, the calculation gives -8.9 eV/cell. The magnetic moment comes out at 0.00 μB/f.u.

This record from Alexandria describes a relaxed LiMgBe2 crystal. The functional is PBEsol.

abc: 2.5469 4.1013 4.9895
angles: 90.00 102.86 90.00
With the nearest neighbours (Å) after each atom.
Element x y z (fractional)
Be: 0.6933 0.0000 0.7936  4 Be 2.29-2.55, 2 Li 2.39
Mg: 0.0000 0.5000 0.5000  2 Li 2.54, 2 Mg 2.55, 4 Be 2.73
Li: 0.5000 0.5000 0.0000  4 Be 2.39, 2 Mg 2.54, 2 Li 2.55
Be: 0.3067 0.0000 0.2064  4 Be 2.29-2.55, 2 Li 2.39

Summary:
The density comes out at 1.6 g/cm³. The value obtained for the formation energy is 7.97 kcal/mol of atoms. For the total energy, the calculation gives -10.3 eV/cell. The magnetic moment comes out at 0.00 μB/f.u.

This record from Alexandria describes a relaxed LiMgBe2 crystal. The functional is PBEsol.

abc: 2.9355 2.9355 5.8517
angles: 90.00 90.00 90.00
With the nearest neighbours (Å) after each atom.
Element x y z (fractional)
Be: 0.0000 0.0000 0.2027  1 Be 2.37, 4 Li 2.39
Li: 0.5000 0.5000 0.0000  8 Be 2.39
Be: 0.0000 0.0000 0.7973  1 Be 2.37, 4 Li 2.39
Mg: 0.5000 0.5000 0.5000  8 Be 2.71, 2 Li 2.93, 4 Mg 2.94

Summary:
The density comes out at 1.6 g/cm³. The value obtained for the formation energy is 7.48 kcal/mol of atoms. For the total energy, the calculation gives -10.4 eV/cell. The magnetic moment comes out at 0.00 μB/f.u.

This record from Alexandria describes a relaxed LiMgBe2 crystal. The functional is PBEsol.

abc: 2.7422 3.9020 5.1412
angles: 90.00 105.47 90.00
With the nearest neighbours (Å) after each atom.
Element x y z (fractional)
Be: 0.7907 0.0000 0.5814  2 Be 2.20
Mg: 0.4138 0.5000 0.8275  7 Be 2.62-2.72, 2 Mg 2.74, 4 Li 2.92
Li: 0.0833 0.0000 0.1667  6 Be 2.47-2.60, 2 Li 2.74
Be: 0.6884 0.5000 0.3768  2 Be 2.20

Summary:
The density comes out at 1.5 g/cm³. The value obtained for the formation energy is 6.41 kcal/mol of atoms. For the total energy, the calculation gives -10.6 eV/cell. The magnetic moment comes out at 0.00 μB/f.u.

This record from Alexandria describes a relaxed LiMgBe2 crystal. The functional is PBEsol.

abc: 4.7119 5.3624 5.3624
angles: 78.87 63.94 63.94
With the nearest neighbours (Å) after each atom.
Element x y z (fractional)
Mg: 0.0000 0.0000 0.0000  2 Li 2.36, 4 Be 2.56
Be: 0.6077 0.5173 0.0173  2 Be 2.37, 2 Li 2.40, 2 Mg 2.56
Mg: 0.7500 0.5000 0.5000  2 Li 2.36, 4 Be 2.56
Be: 0.8750 0.9827 0.5173  2 Be 2.37, 2 Li 2.40, 2 Mg 2.56
Be: 0.3750 0.0173 0.4827  2 Be 2.37, 2 Li 2.40, 2 Mg 2.56
Li: 0.5000 0.0000 0.0000  2 Mg 2.36, 4 Be 2.40
Li: 0.2500 0.5000 0.5000  2 Mg 2.36, 4 Be 2.40
Be: 0.1423 0.4827 0.9827  2 Be 2.37, 2 Li 2.40, 2 Mg 2.56

Summary:
The density comes out at 1.5 g/cm³. The value obtained for the formation energy is 14.73 kcal/mol of atoms. For the total energy, the calculation gives -18.3 eV/cell. The magnetic moment comes out at 0.00 μB/f.u.

This record from Alexandria describes a relaxed LiMn2Be crystal. The functional is PBEsol.

abc: 2.2597 2.2597 7.9330
angles: 90.00 90.00 90.00
With the nearest neighbours (Å) after each atom.
Element x y z (fractional)
Be: 0.5000 0.5000 0.0000  4 Be 2.26, 8 Mn 2.38
Mn: 0.0000 0.0000 0.2230  4 Mn 2.26, 4 Be 2.38
Mn: 0.0000 0.0000 0.7770  4 Mn 2.26, 4 Be 2.38
Li: 0.5000 0.5000 0.5000  4 Li 2.26

Summary:
The density comes out at 5.2 g/cm³. The value obtained for the formation energy is 5.65 kcal/mol of atoms. For the total energy, the calculation gives -24.5 eV/cell. The magnetic moment comes out at 0.00 μB/f.u.

This record from Alexandria describes a relaxed LiMn3Be crystal. The functional is PBEsol.

abc: 4.1601 4.1601 4.1601
angles: 90.00 90.00 90.00
With the nearest neighbours (Å) after each atom.
Element x y z (fractional)
Mn: 0.5000 0.0000 0.0000  2 Be 2.08
Mn: 0.0000 0.5000 0.0000  2 Be 2.08
Li: 0.5000 0.5000 0.5000  12 Mn 2.94
Mn: 0.0000 0.0000 0.5000  2 Be 2.08
Be: 0.0000 0.0000 0.0000  6 Mn 2.08

Summary:
The density comes out at 4.2 g/cm³. The value obtained for the formation energy is 19.88 kcal/mol of atoms. For the total energy, the calculation gives -30.9 eV/cell. The magnetic moment comes out at 9.96 μB/f.u.

This record from Alexandria describes a relaxed LiMn2Be crystal. The functional is PBEsol.

abc: 3.1780 3.1780 8.6438
angles: 100.59 100.59 90.00
With the nearest neighbours (Å) after each atom.
Element x y z (fractional)
Li: 0.5000 0.5000 0.0000  4 Be 2.25, 4 Mn 2.38
Mn: 0.6250 0.1137 0.7500  4 Mn 2.20-2.30, 2 Be 2.36, 2 Li 2.38
Mn: 0.8863 0.8750 0.2500  4 Mn 2.20-2.30, 2 Be 2.36, 2 Li 2.38
Be: 0.0000 0.0000 0.0000  4 Li 2.25, 4 Mn 2.36
Li: 0.7500 0.2500 0.5000  4 Be 2.25, 4 Mn 2.38
Mn: 0.3637 0.3750 0.2500  4 Mn 2.20-2.30, 2 Be 2.36, 2 Li 2.38
Mn: 0.1250 0.6363 0.7500  4 Mn 2.20-2.30, 2 Be 2.36, 2 Li 2.38
Be: 0.2500 0.7500 0.5000  4 Li 2.25, 4 Mn 2.36

Summary:
The density comes out at 5.0 g/cm³. The value obtained for the formation energy is 14.65 kcal/mol of atoms. For the total energy, the calculation gives -45.9 eV/cell. The magnetic moment comes out at 0.00 μB/f.u.

This record from Alexandria describes a relaxed LiMn2Be crystal. The functional is PBEsol.

abc: 2.2688 4.5442 4.5442
angles: 119.94 96.81 96.81
With the nearest neighbours (Å) after each atom.
Element x y z (fractional)
Li: 0.5000 0.0000 0.0000  2 Li 2.27, 2 Be 2.27, 4 Mn 2.42
Be: 0.5000 0.5000 0.5000  2 Be 2.27, 2 Li 2.27, 4 Mn 2.42
Mn: 0.0000 0.5000 0.0000  4 Mn 2.27, 2 Be 2.42, 2 Li 2.42
Mn: 0.0000 0.0000 0.5000  4 Mn 2.27, 2 Li 2.42, 2 Be 2.42

Summary:
The density comes out at 5.3 g/cm³. The value obtained for the formation energy is 6.42 kcal/mol of atoms. For the total energy, the calculation gives -24.4 eV/cell. The magnetic moment comes out at 0.00 μB/f.u.

This record from Alexandria describes a relaxed LiMnBe2Pb crystal. The functional is PBEsol.

abc: 4.5996 4.5996 5.0832
angles: 90.00 90.00 90.00
With the nearest neighbours (Å) after each atom.
Element x y z (fractional)
Be: 0.0000 0.5000 0.0000  2 Pb 2.30
Li: 0.5000 0.5000 0.5000  4 Mn 3.25, 8 Be 3.43
Mn: 0.0000 0.0000 0.5000  2 Pb 2.54
Pb: 0.0000 0.0000 0.0000  4 Be 2.30, 2 Mn 2.54
Be: 0.5000 0.0000 0.0000  2 Pb 2.30

Summary:
The density comes out at 4.4 g/cm³. The value obtained for the formation energy is 28.14 kcal/mol of atoms. For the total energy, the calculation gives -17.6 eV/cell. The magnetic moment comes out at 3.29 μB/f.u.

This record from Alexandria describes a relaxed LiBe2Mo crystal. The functional is PBEsol.

abc: 2.3789 4.4283 4.7073
angles: 106.91 104.64 90.00
With the nearest neighbours (Å) after each atom.
Element x y z (fractional)
Li: 0.4783 0.4370 0.9566  2 Li 2.38, 7 Be 2.51-2.58
Be: 0.7235 0.2896 0.4471  4 Be 2.30-2.38, 3 Li 2.51, 4 Mo 2.54-2.56
Mo: 0.2734 0.8179 0.5467  2 Mo 2.38, 7 Be 2.49-2.56
Be: 0.0248 0.9556 0.0496  4 Be 2.30-2.38, 3 Mo 2.49-2.52, 2 Li 2.51

Summary:
The density comes out at 4.4 g/cm³. The value obtained for the formation energy is 4.01 kcal/mol of atoms. For the total energy, the calculation gives -21.0 eV/cell. The magnetic moment comes out at 0.00 μB/f.u.